YAgCl4: optimized geometry, PBE-GGA.

Structure (POSCAR):
```
YAgCl4
1.0
0.000 4.117 4.117
4.117 0.000 4.117
4.117 4.117 0.000
Cl Y Ag
4 1 1
direct
0.876 0.375 0.375
0.375 0.876 0.375
0.375 0.375 0.876
0.375 0.375 0.375
0.750 0.750 0.750
0.000 0.000 0.000
```

Computed properties:
M_tot ... 1.193 Bohr magnetons per cell
ΔE_f (raw) ... -0.140 eV/atom